First-principles (PBE-GGA) data for an optimized crystal structure of Ho8ThSc6, as listed in the Alexandria database.

Properties
Fermi-level density of states   1.562 states/eV per atom
Energy of formation   182 meV/atom

abc: 9.4189 9.4189 16.9040
angles: 90.00 90.00 120.00
Space group R-3 (No. 148, hexagonal axes)
Symmetry-distinct sites (fractional):
Ho: 0.0000 0.0000 0.0928 (multiplicity 6)
Ho: 0.0574 0.8180 0.6717 (multiplicity 18)
Th: 0.0000 0.0000 0.5000 (multiplicity 3)
Sc: 0.0320 0.7334 0.1762 (multiplicity 18)

First-principles (PBE-GGA) data for an optimized crystal structure of CsTeS2, as listed in the Alexandria database.

Properties
Fermi-level density of states   0.174 states/eV per atom
E_form (uncorrected)   -505 meV/atom

abc: 7.105 13.576 6.910
angles: 90.00 90.00 90.00
Space group Pna2_1 (No. 33)
Symmetry-distinct sites (fractional):
Cs: 0.049 0.129 0.000 (multiplicity 4)
Te: 0.082 0.371 0.436 (multiplicity 4)
S: 0.048 0.395 0.102 (multiplicity 4)
S: 0.094 0.861 0.996 (multiplicity 4)

First-principles (PBE-GGA) data for an optimized crystal structure of La2TlCl, as listed in the Alexandria database.

Properties
Fermi-level density of states   0.642 states/eV per atom
E_form (uncorrected)   -932 meV/atom

abc: 4.382 4.982 11.265
angles: 90.00 90.00 90.00
Space group Pmmn (No. 59, origin choice 2)
Symmetry-distinct sites (fractional):
La: 0.250 0.250 0.036 (multiplicity 2)
La: 0.250 0.750 0.669 (multiplicity 2)
Tl: 0.250 0.750 0.216 (multiplicity 2)
Cl: 0.250 0.250 0.515 (multiplicity 2)

First-principles (PBE-GGA) data for an optimized crystal structure of Cu2TcAu, as listed in the Alexandria database.

Properties
Fermi-level density of states   0.521 states/eV per atom
Energy of formation   349 meV/atom

abc: 2.670 4.594 4.808
angles: 90.00 90.00 90.00
Space group Pmmm (No. 47)
Symmetry-distinct sites (fractional):
Cu: 0.000 0.000 0.000 (multiplicity 1)
Cu: 0.500 0.000 0.500 (multiplicity 1)
Tc: 0.000 0.500 0.500 (multiplicity 1)
Au: 0.500 0.500 0.000 (multiplicity 1)

First-principles (PBE-GGA) data for an optimized crystal structure of Li2LaScAu4, as listed in the Alexandria database.

Properties
Fermi-level density of states   0.754 states/eV per atom
Energy of formation   -689 meV/atom

abc: 4.6202 4.6202 26.4614
angles: 90.00 90.00 120.00
Space group R-3m (No. 166, hexagonal axes)
Symmetry-distinct sites (fractional):
Li: 0.0000 0.0000 0.2385 (multiplicity 6)
La: 0.0000 0.0000 0.0000 (multiplicity 3)
Sc: 0.0000 0.0000 0.5000 (multiplicity 3)
Au: 0.0000 0.0000 0.1240 (multiplicity 6)
Au: 0.0000 0.0000 0.3953 (multiplicity 6)

First-principles (PBE-GGA) data for an optimized crystal structure of SrTl2Ag9, as listed in the Alexandria database.

Properties
Fermi-level density of states   0.315 states/eV per atom
Energy of formation   -51 meV/atom

abc: 5.7058 5.7058 28.0562
angles: 90.00 90.00 120.00
Space group R-3m (No. 166, hexagonal axes)
Symmetry-distinct sites (fractional):
Sr: 0.0000 0.0000 0.0000 (multiplicity 3)
Tl: 0.0000 0.0000 0.1426 (multiplicity 6)
Ag: 0.0000 0.0000 0.3334 (multiplicity 6)
Ag: 0.0000 0.0000 0.5000 (multiplicity 3)
Ag: 0.0023 0.5012 0.9162 (multiplicity 18)

First-principles (PBE-GGA) data for an optimized crystal structure of Ba6Se2S3I, as listed in the Alexandria database.

Properties
Fermi-level density of states   0.267 states/eV per atom
E_form (uncorrected)   -1947 meV/atom

abc: 20.399 4.654 9.411
angles: 90.00 103.78 90.00
Space group C2/m (No. 12)
Symmetry-distinct sites (fractional):
Ba: 0.002 0.000 0.224 (multiplicity 4)
Ba: 0.166 0.500 0.086 (multiplicity 4)
Ba: 0.177 0.500 0.584 (multiplicity 4)
Se: 0.165 0.000 0.830 (multiplicity 4)
S: 0.000 0.500 0.000 (multiplicity 2)
S: 0.165 0.000 0.333 (multiplicity 4)
I: 0.000 0.500 0.500 (multiplicity 2)

First-principles (PBE-GGA) data for an optimized crystal structure of PmPr3Si2, as listed in the Alexandria database.

Properties
Fermi-level density of states   0.890 states/eV per atom
E_form (uncorrected)   -198 meV/atom

abc: 7.8454 7.8454 20.6012
angles: 90.00 90.00 120.00
Space group R-3c (No. 167, hexagonal axes)
Symmetry-distinct sites (fractional):
Pm: 0.0000 0.0000 0.0000 (multiplicity 6)
Pr: 0.0000 0.2759 0.2500 (multiplicity 18)
Si: 0.0000 0.0000 0.1449 (multiplicity 12)

First-principles (PBE-GGA) data for an optimized crystal structure of KMo2Pt, as listed in the Alexandria database.

Properties
Fermi-level density of states   0.769 states/eV per atom
Energy of formation   642 meV/atom

abc: 9.247 2.993 7.165
angles: 90.00 99.90 90.00
Space group Cm (No. 8)
Symmetry-distinct sites (fractional):
K: 0.000 0.000 0.000 (multiplicity 2)
Mo: 0.005 0.500 0.490 (multiplicity 2)
Mo: 0.201 0.000 0.609 (multiplicity 2)
Pt: 0.271 0.500 0.328 (multiplicity 2)

First-principles (PBE-GGA) data for an optimized crystal structure of Ac4SiSe2S, as listed in the Alexandria database.

Properties
Fermi-level density of states   0.430 states/eV per atom
E_form (uncorrected)   -1635 meV/atom

abc: 7.686 4.478 7.811
angles: 90.00 109.48 90.00
Space group P2/m (No. 10)
Symmetry-distinct sites (fractional):
Ac: 0.244 0.000 0.237 (multiplicity 2)
Ac: 0.252 0.500 0.764 (multiplicity 2)
Si: 0.000 0.500 0.000 (multiplicity 1)
Se: 0.000 0.000 0.500 (multiplicity 1)
Se: 0.500 0.500 0.500 (multiplicity 1)
S: 0.500 0.000 0.000 (multiplicity 1)

First-principles (PBE-GGA) data for an optimized crystal structure of Sm2TlHg3, as listed in the Alexandria database.

Properties
Fermi-level density of states   0.728 states/eV per atom
Energy of formation   -367 meV/atom

abc: 7.097 10.087 17.401
angles: 90.00 90.00 90.00
Space group Fmmm (No. 69)
Symmetry-distinct sites (fractional):
Sm: 0.247 0.000 0.000 (multiplicity 8)
Sm: 0.250 0.250 0.250 (multiplicity 8)
Tl: 0.000 0.000 0.333 (multiplicity 8)
Hg: 0.000 0.000 0.165 (multiplicity 8)
Hg: 0.000 0.248 0.083 (multiplicity 16)

First-principles (PBE-GGA) data for an optimized crystal structure of Pm5HoTmSc2, as listed in the Alexandria database.

Properties
Fermi-level density of states   1.672 states/eV per atom
Energy of formation   171 meV/atom

abc: 5.509 20.158 10.473
angles: 90.00 90.00 90.00
Space group Cmc2_1 (No. 36)
Symmetry-distinct sites (fractional):
Pm: 0.000 0.011 0.000 (multiplicity 4)
Pm: 0.000 0.274 0.306 (multiplicity 4)
Pm: 0.000 0.302 0.699 (multiplicity 4)
Pm: 0.000 0.379 0.008 (multiplicity 4)
Pm: 0.000 0.484 0.729 (multiplicity 4)
Ho: 0.000 0.193 0.002 (multiplicity 4)
Tm: 0.000 0.406 0.444 (multiplicity 4)
Sc: 0.000 0.110 0.285 (multiplicity 4)
Sc: 0.000 0.114 0.732 (multiplicity 4)